[1]
Hf2MgRu after structural relaxation. Source: Alexandria, functional PBE.

Computed properties:
Fermi-level density of states ... 1.87 states/eV/f.u.
Energy of formation ... -264 meV per atom
Energy ... -31.83 eV per formula unit
Calculated volume ... 76.5 Å³/f.u.

Lattice parameters (Å, degrees): 3.2894 3.2894 7.0707 90.00 90.00 90.00
Fractional coordinates of all 4 atoms:
Hf (0.0000, 0.0000, 0.2244)
Hf (0.0000, 0.0000, 0.7756)
Ru (0.5000, 0.5000, 0.0000)
Mg (0.5000, 0.5000, 0.5000)



[2]
HfMg2Ru after structural relaxation. Source: Alexandria, functional PBE.

Computed properties:
Fermi-level density of states ... 4.58 states/eV/f.u.
Energy of formation ... 204 meV per atom
Energy ... -21.60 eV per formula unit
Calculated volume ... 71.2 Å³/f.u.
Energy above the most stable polymorph in this dataset ... 0.13 kcal/mol of atoms

Lattice parameters (Å, degrees): 4.6522 4.6522 4.6522 60.00 60.00 60.00
Fractional coordinates of all 4 atoms:
Mg (0.2500, 0.2500, 0.2500)
Mg (0.7500, 0.7500, 0.7500)
Ru (0.0000, 0.0000, 0.0000)
Hf (0.5000, 0.5000, 0.5000)



[3]
HfMgScRu after structural relaxation. Source: Alexandria, functional PBE.

Computed properties:
Fermi-level density of states ... 2.69 states/eV/f.u.
Energy of formation ... -267 meV per atom
Energy ... -28.22 eV per formula unit
Calculated volume ... 74.7 Å³/f.u.

Lattice parameters (Å, degrees): 4.7280 4.7280 4.7280 60.00 60.00 60.00
Fractional coordinates of all 4 atoms:
Hf (0.2500, 0.2500, 0.2500)
Sc (0.7500, 0.7500, 0.7500)
Mg (0.0000, 0.0000, 0.0000)
Ru (0.5000, 0.5000, 0.5000)



[4]
HfMg2RuSe after structural relaxation. Source: Alexandria, functional PBE.

Computed properties:
Fermi-level density of states ... 4.93 states/eV/f.u.
Energy ... -20.61 eV per formula unit
Calculated volume ... 144.1 Å³/f.u.
Raw formation energy ... 1.06 eV/atom

Lattice parameters (Å, degrees): 5.6168 4.5670 5.6168 90.00 90.00 90.00
Fractional coordinates of all 5 atoms:
Se (0.5000, 0.5000, 0.5000)
Mg (0.5000, 0.0000, 0.0000)
Mg (0.0000, 0.0000, 0.5000)
Hf (0.0000, 0.0000, 0.0000)
Ru (0.0000, 0.5000, 0.0000)



[5]
TmHfMgRu after structural relaxation. Source: Alexandria, functional PBE.

Computed properties:
Fermi-level density of states ... 2.80 states/eV/f.u.
Energy of formation ... -198 meV per atom
Energy ... -26.09 eV per formula unit
Calculated volume ... 80.0 Å³/f.u.

Lattice parameters (Å, degrees): 4.8371 4.8371 4.8371 60.00 60.00 60.00
Fractional coordinates of all 4 atoms:
Hf (0.5000, 0.5000, 0.5000)
Tm (0.0000, 0.0000, 0.0000)
Mg (0.7500, 0.7500, 0.7500)
Ru (0.2500, 0.2500, 0.2500)



[6]
HfMgRu2W after structural relaxation. Source: Alexandria, functional PBE.

Computed properties:
Fermi-level density of states ... 3.05 states/eV/f.u.
Energy of formation ... 1057 meV per atom
Energy ... -37.77 eV per formula unit
Calculated volume ... 110.9 Å³/f.u.

Lattice parameters (Å, degrees): 4.7340 4.9473 4.7340 90.00 90.00 90.00
Fractional coordinates of all 5 atoms:
Mg (0.5000, 0.5000, 0.5000)
Hf (0.0000, 0.5000, 0.0000)
Ru (0.5000, 0.0000, 0.0000)
Ru (0.0000, 0.0000, 0.5000)
W (0.0000, 0.0000, 0.0000)



[7]
HfMg2RuW after structural relaxation. Source: Alexandria, functional PBE.

Computed properties:
Fermi-level density of states ... 5.73 states/eV/f.u.
Energy of formation ... 1297 meV per atom
Energy ... -28.89 eV per formula unit
Calculated volume ... 112.9 Å³/f.u.

Lattice parameters (Å, degrees): 4.9644 4.5830 4.9644 90.00 90.00 90.00
Fractional coordinates of all 5 atoms:
Mg (0.5000, 0.0000, 0.0000)
Mg (0.0000, 0.0000, 0.5000)
Ru (0.0000, 0.5000, 0.0000)
Hf (0.5000, 0.5000, 0.5000)
W (0.0000, 0.0000, 0.0000)



[8]
Y2HfMgRu after structural relaxation. Source: Alexandria, functional PBE.

Computed properties:
Fermi-level density of states ... 6.68 states/eV/f.u.
Energy of formation ... 1486 meV per atom
Energy ... -26.32 eV per formula unit
Calculated volume ... 150.2 Å³/f.u.

Lattice parameters (Å, degrees): 5.3613 5.2261 5.3613 90.00 90.00 90.00
Fractional coordinates of all 5 atoms:
Y (0.5000, 0.0000, 0.0000)
Y (0.0000, 0.0000, 0.5000)
Hf (0.0000, 0.0000, 0.0000)
Ru (0.5000, 0.5000, 0.5000)
Mg (0.0000, 0.5000, 0.0000)



[9]
HfMg2S after structural relaxation. Source: Alexandria, functional PBE.

Computed properties:
Fermi-level density of states ... 2.21 states/eV/f.u.
Energy ... -18.07 eV per formula unit
Calculated volume ... 81.9 Å³/f.u.
Raw formation energy ... -0.20 eV/atom
Energy above the most stable polymorph in this dataset ... 0.00 kcal/mol of atoms

Lattice parameters (Å, degrees): 7.9391 7.9391 6.1860 50.08 50.08 90.00
Fractional coordinates of all 8 atoms:
S (0.5000, 0.5000, 0.0000)
S (0.2500, 0.7500, 0.5000)
Hf (0.0000, 0.0000, 0.0000)
Hf (0.7500, 0.2500, 0.5000)
Mg (0.1882, 0.6250, 0.2500)
Mg (0.3750, 0.4382, 0.7500)
Mg (0.8750, 0.8118, 0.7500)
Mg (0.5618, 0.1250, 0.2500)



[10]
HfMg3S after structural relaxation. Source: Alexandria, functional PBE.

Computed properties:
Fermi-level density of states ... 3.43 states/eV/f.u.
Energy ... -12.23 eV per formula unit
Calculated volume ... 181.7 Å³/f.u.
Raw formation energy ... 1.33 eV/atom
Energy above the most stable polymorph in this dataset ... 25.29 kcal/mol of atoms

Lattice parameters (Å, degrees): 5.6639 5.6639 5.6639 90.00 90.00 90.00
Fractional coordinates of all 5 atoms:
Mg (0.5000, 0.0000, 0.0000)
Mg (0.0000, 0.5000, 0.0000)
Mg (0.0000, 0.0000, 0.5000)
Hf (0.0000, 0.0000, 0.0000)
S (0.5000, 0.5000, 0.5000)



[11]
Hf2MgS5 after structural relaxation. Source: Alexandria, functional PBE.

Computed properties:
Fermi-level density of states ... 1.59 states/eV/f.u.
Energy ... -51.63 eV per formula unit
Calculated volume ... 144.7 Å³/f.u.
Raw formation energy ... -1.19 eV/atom

Lattice parameters (Å, degrees): 4.8894 4.8282 7.5182 80.52 71.02 59.58
Fractional coordinates of all 8 atoms:
S (0.5028, 0.1739, 0.8205)
S (0.0000, 0.5000, 0.5000)
S (0.1767, 0.8261, 0.8205)
S (0.8233, 0.1739, 0.1795)
S (0.4972, 0.8261, 0.1795)
Mg (0.5000, 0.5000, 0.5000)
Hf (0.8220, 0.5000, 0.8559)
Hf (0.1780, 0.5000, 0.1441)



[12]
HfMg2S after structural relaxation. Source: Alexandria, functional PBE.

Computed properties:
Fermi-level density of states ... 4.10 states/eV/f.u.
Energy ... -15.41 eV per formula unit
Calculated volume ... 84.7 Å³/f.u.
Raw formation energy ... 0.47 eV/atom
Energy above the most stable polymorph in this dataset ... 15.33 kcal/mol of atoms

Lattice parameters (Å, degrees): 4.9301 4.9301 4.9301 60.00 60.00 60.00
Fractional coordinates of all 4 atoms:
Hf (0.5000, 0.5000, 0.5000)
Mg (0.2500, 0.2500, 0.2500)
Mg (0.7500, 0.7500, 0.7500)
S (0.0000, 0.0000, 0.0000)



Which of these has the lowest calculated volume?
HfMg2Ru



Which value of calculated volume does entry 9 give?
81.9 Å³/f.u.